A plane-wave DFT calculation with GGA-PBE was carried out for a relaxed structure of Pm4SmSc.

Properties
distance to the lowest polymorph of the same formula: 0 meV/atom
DFT formation energy: 0.4 eV/f.u.

Unit cell a=11.1440 b=5.9543 c=5.8885 alpha=90.00 beta=90.01 gamma=90.00
Space group C2/m (No. 12)
One atom of each set of equivalent atoms:
Pm: 0.1589 0.0000 0.0025
Pm: 0.1613 0.5000 0.4981
Sm: 0.0000 0.5000 0.0000
Sc: 0.0000 0.0000 0.5000